# Ti5VP6O24 | Alexandria via LeMat-Bulk | PBE+U | relaxed
# E: -7.954 eV/atom
data_Ti5VP6O24
_cell_length_a 8.7829
_cell_length_b 8.7829
_cell_length_c 20.0632
_cell_angle_alpha 90.00
_cell_angle_beta 90.00
_cell_angle_gamma 120.00
_space_group_name_H-M_alt 'R 3'
_space_group_IT_number 146
_space_group_name_Hall 'R 3'
loop_
_atom_site_label
_atom_site_fract_x
_atom_site_fract_y
_atom_site_fract_z
_atom_site_occupancy
Ti1 0.0000 0.0000 0.0000 1
Ti2 0.0000 0.0000 0.1377 1
Ti3 0.0000 0.0000 0.5006 1
Ti4 0.0000 0.0000 0.6397 1
Ti5 0.0000 0.0000 0.7783 1
V1 0.0000 0.0000 0.2756 1
P1 0.9998 0.2897 0.8887 1
P2 0.0002 0.7100 0.3888 1
O1 0.0104 0.8137 0.4518 1
O2 0.0145 0.1997 0.9517 1
O3 0.0166 0.8301 0.0674 1
O4 0.0190 0.1884 0.5675 1
O5 0.1381 0.6744 0.9925 1
O6 0.1560 0.4681 0.4942 1
O7 0.1603 0.4750 0.8738 1
O8 0.1617 0.6786 0.3801 1